(1)
The following is a PBE calculation of a geometry-optimized LaScNi2 structure, from Alexandria.

## Properties
ΔE to the lowest computed polymorph = 35.4 kJ/mol of atoms

a = 5.9826 Å, b = 5.9826 Å, c = 5.9826 Å
α = 106.49°, β = 106.49°, γ = 115.62°
Sites, in units of the cell vectors:
1 La 0.0000 0.0000 0.0000
2 La 0.7500 0.2500 0.5000
3 Sc 0.2500 0.7500 0.5000
4 Sc 0.5000 0.5000 0.0000
5 Ni 0.1500 0.6250 0.0250
6 Ni 0.3750 0.4000 0.5250
7 Ni 0.6000 0.1250 0.9750
8 Ni 0.8750 0.8500 0.4750


(2)
The following is a PBE calculation of a geometry-optimized ThTaMnOs2 structure, from Alexandria.

## Properties
total energy = -10.288 eV/atom

a = 6.2964 Å, b = 6.2964 Å, c = 6.2964 Å
α = 140.99°, β = 140.99°, γ = 56.36°
Sites, in units of the cell vectors:
1 Th 0.0000 0.0000 0.0000
2 Ta 0.2500 0.7500 0.5000
3 Mn 0.7500 0.2500 0.5000
4 Os 0.3849 0.3849 0.0000
5 Os 0.6151 0.6151 0.0000


Repeat the first record exactly.
The following is a PBE calculation of a geometry-optimized LaScNi2 structure, from Alexandria.

## Properties
ΔE to the lowest computed polymorph = 35.4 kJ/mol of atoms

a = 5.9826 Å, b = 5.9826 Å, c = 5.9826 Å
α = 106.49°, β = 106.49°, γ = 115.62°
Sites, in units of the cell vectors:
1 La 0.0000 0.0000 0.0000
2 La 0.7500 0.2500 0.5000
3 Sc 0.2500 0.7500 0.5000
4 Sc 0.5000 0.5000 0.0000
5 Ni 0.1500 0.6250 0.0250
6 Ni 0.3750 0.4000 0.5250
7 Ni 0.6000 0.1250 0.9750
8 Ni 0.8750 0.8500 0.4750